## Ac2HgPPd6 (PBE)

Data for crystalline Ac2HgPPd6 at its relaxed geometry.

Results
The calculated formation energy is -0.699 eV/atom. The calculation puts the calculated total energy at -5.21 eV per atom. The space-group type is P-1 (2). Its theoretical density is 10.078 g/cm3.

```
10
Lattice="-0.067 4.143 3.894 1.449 -5.689 6.071 5.287 -0.675 4.956" Properties=species:S:1:pos:R:3 pbc="T T T"
Ac 3.110 1.228 7.055
Ac 3.559 -3.448 7.866
Hg 0.000 0.000 0.000
P 0.691 -0.773 4.982
Pd 2.758 0.084 4.117
Pd 6.260 -1.671 12.261
Pd 6.301 -3.745 10.324
Pd 0.368 1.525 4.597
Pd 0.409 -0.549 2.660
Pd 3.911 -2.304 10.804
```

## Pm15Y4Tl (PBE)

Data for crystalline Pm15Y4Tl at its relaxed geometry.

Results
The calculated formation energy is -0.023 eV/atom. The calculation puts the calculated total energy at -5.00 eV per atom. The space-group type is P4/mmm (123). Its theoretical density is 6.830 g/cm3.

```
20
Lattice="-1.558 -4.092 2.583 -1.026 -2.373 -4.378 23.930 -9.428 -0.500" Properties=species:S:1:pos:R:3 pbc="T T T"
Pm -1.292 -3.232 -0.897
Pm 3.426 -5.091 -0.996
Pm 8.256 -6.995 -1.097
Pm 13.089 -8.899 -1.198
Pm 17.920 -10.802 -1.299
Pm 1.542 -2.961 1.243
Pm 6.369 -4.863 1.142
Pm 11.186 -6.760 1.041
Pm 16.002 -8.658 0.941
Pm 20.829 -10.560 0.840
Pm 1.808 -2.101 -2.238
Pm 6.635 -4.003 -2.338
Pm 11.452 -5.900 -2.439
Pm 16.268 -7.798 -2.540
Pm 21.095 -9.700 -2.641
Y 4.744 -1.869 -0.099
Y 9.563 -3.768 -0.200
Y 14.367 -5.661 -0.300
Y 19.186 -7.559 -0.401
Tl 0.000 0.000 0.000
```

## TlSiB2Os (PBE)

Data for crystalline TlSiB2Os at its relaxed geometry.

Results
The calculation puts the formation energy without anion corrections at 2649 meV/atom. The calculation puts the calculated total energy at -3.83 eV per atom. The space-group type is P4/mmm (123). Its theoretical density is 7.895 g/cm3.

```
5
Lattice="4.118 0.000 0.000 0.000 5.511 0.000 0.000 0.000 4.118" Properties=species:S:1:pos:R:3 pbc="T T T"
Tl 0.000 0.000 0.000
B 0.000 0.000 2.059
B 2.059 0.000 0.000
Os 0.000 2.756 0.000
Si 2.059 2.756 2.059
```

## TbAl6 (PBE)

Data for crystalline TbAl6 at its relaxed geometry.

Results
The calculated formation energy is -0.188 eV/atom. The calculation puts the calculated total energy at -4.06 eV per atom. The space-group type is P4/nbm (125). Its theoretical density is 3.880 g/cm3.

```
14
Lattice="-1.904 -4.182 3.705 4.229 1.479 3.843 -4.876 5.199 3.363" Properties=species:S:1:pos:R:3 pbc="T T T"
Tb -0.952 -2.091 1.852
Tb 2.114 0.740 1.921
Al 0.383 -0.520 4.311
Al -0.779 0.831 0.537
Al -4.096 4.368 2.826
Al -2.934 3.017 6.600
Al -0.444 -0.603 6.844
Al 1.138 1.708 5.565
Al -2.275 -0.720 4.371
Al -0.692 1.592 3.091
Al -0.944 1.749 7.841
Al -0.623 3.619 5.415
Al -3.342 0.386 6.471
Al -3.021 2.256 4.046
```

## Ca3Si3Pd (PBE)

Data for crystalline Ca3Si3Pd at its relaxed geometry.

Results
The calculation puts the formation energy without anion corrections at -617 meV/atom. The calculation puts the calculated total energy at -4.54 eV per atom. The space-group type is Cmcm (63). Its theoretical density is 3.410 g/cm3.

```
14
Lattice="-3.955 -1.474 -0.450 1.797 -0.377 5.463 -4.815 12.173 2.424" Properties=species:S:1:pos:R:3 pbc="T T T"
Ca -4.396 10.412 4.512
Ca -2.577 -0.091 2.926
Ca -2.988 6.852 3.803
Ca -3.985 3.469 3.635
Ca -5.593 8.366 1.719
Ca -1.380 1.955 5.718
Si -6.507 9.350 6.528
Si -0.465 0.971 0.909
Si -4.983 5.498 5.761
Si -1.989 4.823 1.676
Si -5.700 7.703 4.836
Si -1.272 2.619 2.602
Pd -1.977 -0.737 -0.225
Pd -4.385 5.349 0.987
```

## K2AsBr4 (PBE)

Data for crystalline K2AsBr4 at its relaxed geometry.

Results
The calculation puts the formation energy without anion corrections at -1066 meV/atom. The offset from the most stable computed form comes out at 0.0 meV per atom. The calculation puts the calculated total energy at -3.00 eV per atom. The space-group type is I4/mmm (139). Its theoretical density is 2.993 g/cm3.

```
7
Lattice="-3.824 -6.769 -0.123 0.349 -0.055 -7.768 5.510 1.278 4.130" Properties=species:S:1:pos:R:3 pbc="T T T"
K -0.025 -4.452 0.031
K 2.061 -1.095 -3.792
As -1.737 -3.412 -3.945
Br -2.746 -5.039 -2.095
Br -0.726 -1.788 -5.796
Br 2.930 -3.785 -1.726
Br 4.612 -0.481 2.095
```

## AlReRu2 (PBE)

Data for crystalline AlReRu2 at its relaxed geometry.

Results
The calculated formation energy is -0.091 eV/atom. The calculation puts the calculated total energy at -8.78 eV per atom. The space-group type is C2/m (12). Its theoretical density is 12.071 g/cm3.

```
4
Lattice="-3.815 -0.767 2.539 -1.999 -2.740 3.176 1.200 2.372 3.925" Properties=species:S:1:pos:R:3 pbc="T T T"
Re -3.461 -0.851 7.230
Al -1.154 -0.284 2.410
Ru 1.180 2.357 3.933
Ru -2.288 -0.552 4.812
```

## EuPuCd4 (PBE)

Data for crystalline EuPuCd4 at its relaxed geometry.

Results
The calculated formation energy is -0.137 eV/atom. The calculation puts the calculated total energy at -4.85 eV per atom. The space-group type is F-43m (216). Its theoretical density is 9.032 g/cm3.

```
6
Lattice="6.036 0.000 0.000 3.018 5.227 0.000 3.018 1.742 4.928" Properties=species:S:1:pos:R:3 pbc="T T T"
Eu 0.000 0.000 0.000
Cd 6.036 3.485 0.617
Cd 6.036 1.743 3.080
Cd 7.544 4.355 3.080
Cd 4.528 4.355 3.080
Pu 3.018 1.742 1.232
```

## CrNiB (PBE)

Data for crystalline CrNiB at its relaxed geometry.

Results
The calculated formation energy is -0.311 eV/atom. The calculation puts the calculated total energy at -7.67 eV per atom. The space-group type is Cmcm (63). Its theoretical density is 7.279 g/cm3.

```
6
Lattice="2.927 0.000 0.000 0.000 2.982 0.000 0.000 -1.491 6.352" Properties=species:S:1:pos:R:3 pbc="T T T"
Cr 2.195 1.491 5.237
Cr 0.732 0.000 1.114
Ni 2.195 1.491 2.562
Ni 0.732 0.000 3.790
B 2.195 1.491 0.478
B 0.732 0.000 5.874
```

## ZnH2 (PBE)

Data for crystalline ZnH2 at its relaxed geometry.

Results
The calculation puts the calculated total energy at -2.57 eV per atom. The space-group type is Pna2_1 (33). Its theoretical density is 3.190 g/cm3.

```
12
Lattice="-2.077 -4.104 0.840 2.725 -2.074 -3.393 4.329 -1.314 4.280" Properties=species:S:1:pos:R:3 pbc="T T T"
Zn 2.373 -3.217 0.012
Zn 2.069 -5.334 1.931
Zn 4.516 -6.700 1.307
Zn -0.074 -1.851 0.637
H 3.300 -6.362 2.408
H 0.750 -2.963 -0.306
H 2.975 -4.262 -1.150
H 1.075 -5.063 3.252
H 0.546 -0.326 0.292
H 5.384 -5.283 1.049
H 2.759 -3.863 1.498
H 3.171 -1.746 -0.157
```

## AgI (PBE)

Data for crystalline AgI at its relaxed geometry.

Results
The calculation puts the formation energy without anion corrections at -242 meV/atom. The calculation puts the calculated total energy at -2.44 eV per atom. The space-group type is P4_2/mnm (136). Its theoretical density is 5.100 g/cm3.

```
8
Lattice="-4.435 -0.161 6.715 6.708 -0.534 4.417 0.210 4.708 0.251" Properties=species:S:1:pos:R:3 pbc="T T T"
Ag 3.071 -0.412 5.167
Ag 1.983 1.780 9.325
Ag 0.499 2.233 2.059
Ag -0.798 -0.283 5.965
I 0.709 -0.217 3.471
I -2.233 2.123 6.408
I 4.715 1.890 4.975
I 1.564 -0.478 7.662
```

## RbAg2Au2 (PBE)

Data for crystalline RbAg2Au2 at its relaxed geometry.

Results
The offset from the most stable computed form comes out at 32.7 meV per atom. The calculated formation energy is -0.015 eV/atom. The calculation puts the calculated total energy at -2.66 eV per atom. The space-group type is P4/mbm (127). Its theoretical density is 10.342 g/cm3.

```
10
Lattice="-6.752 -0.841 5.367 -3.250 -6.235 -5.066 1.493 -2.044 1.558" Properties=species:S:1:pos:R:3 pbc="T T T"
Au -5.421 -5.803 -2.418
Au -7.955 -4.608 1.577
Au -4.581 -1.273 2.720
Au -2.047 -2.468 -1.276
Rb 0.000 0.000 0.000
Rb -5.001 -3.538 0.151
Ag -2.614 -5.368 -1.701
Ag -6.487 -6.741 0.207
Ag -5.895 -3.752 3.561
Ag -2.022 -2.379 1.652
```